TlCdP2O8: optimized geometry, PBE.

Output
Its calculated volume is 12.76 Å³/atom. Its electronic total energy is -72.06 eV/cell. Its symmetry is I-4m2, No. 119. As for the total magnetic moment: 1.07 μB per cell. The calculation puts the uncorrected formation energy at -18.29 eV per formula unit.

Cell: 5.871 5.871 5.871 Å, 105.36 105.36 118.04°
Positions (direct):
Tl 0.000 0.000 0.000
Cd 0.750 0.250 0.500
P 0.250 0.750 0.500
P 0.500 0.500 0.000
O 0.090 0.419 0.329
O 0.090 0.761 0.671
O 0.167 0.337 0.830
O 0.239 0.910 0.329
O 0.507 0.337 0.170
O 0.581 0.910 0.671
O 0.663 0.493 0.830
O 0.663 0.833 0.170